[1]
This record from Alexandria describes a relaxed LiAcYBi crystal. The functional is PBE.

```
LiAcYBi
1.0
-4.1135 3.6223 1.0805
-4.7607 -1.7881 2.3125
-1.2184 1.3486 5.2826
Ac Y Bi Li
1 1 1 1
Direct
0.2500 0.2500 0.2500
0.7500 0.7500 0.7500
0.5000 0.5000 0.5000
0.0000 0.0000 0.0000
```

Values from the calculation:
- Energy of formation from the pure elements: -0.293 eV/atom
- Density of states at the Fermi level: 4.82 states/eV/cell
- Uncorrected energy: -17.54 eV for the cell shown

[2]
This record from Alexandria describes a relaxed LiAcZnBi crystal. The functional is PBE.

```
LiAcZnBi
1.0
5.4622 0.0000 0.0000
2.7311 4.7304 0.0000
2.7311 1.5768 4.4598
Zn Ac Bi Li
1 1 1 1
Direct
0.0000 0.0000 0.0000
0.2500 0.2500 0.2500
0.5000 0.5000 0.5000
0.7500 0.7500 0.7500
```

Values from the calculation:
- Energy of formation from the pure elements: -0.357 eV/atom
- Density of states at the Fermi level: 3.15 states/eV/cell
- Uncorrected energy: -12.60 eV for the cell shown

[3]
This record from Alexandria describes a relaxed AcLuBi2 crystal. The functional is PBE.

```
AcLuBi2
1.0
4.2220 0.0000 0.0000
0.0000 4.2220 0.0000
0.0000 0.0000 7.1952
Bi Ac Lu
2 1 1
Direct
0.0000 0.0000 0.2703
0.0000 0.0000 0.7297
0.5000 0.5000 0.0000
0.5000 0.5000 0.5000
```

Values from the calculation:
- Energy above the most stable polymorph in this dataset: 0 meV per atom
- Energy of formation from the pure elements: -0.594 eV/atom
- Density of states at the Fermi level: 2.59 states/eV/cell
- Uncorrected energy: -18.77 eV for the cell shown

[4]
This record from Alexandria describes a relaxed AcLuBi2 crystal. The functional is PBE.

```
AcLuBi2
1.0
3.9565 0.0000 0.0000
1.9783 3.4265 0.0000
1.9783 1.1422 11.1104
Ac Lu Bi
1 1 2
Direct
0.0000 0.0000 0.0000
0.5000 0.5000 0.5000
0.1008 0.1008 0.6977
0.8992 0.8992 0.3023
```

Values from the calculation:
- Energy above the most stable polymorph in this dataset: 438 meV per atom
- Energy of formation from the pure elements: -0.156 eV/atom
- Density of states at the Fermi level: 4.72 states/eV/cell
- Uncorrected energy: -17.02 eV for the cell shown

[5]
This record from Alexandria describes a relaxed AcLu2Bi crystal. The functional is PBE.

```
AcLu2Bi
1.0
-2.7131 -2.3871 0.3123
-1.2486 -1.7211 -2.9386
6.7007 -10.2516 0.9183
Lu Ac Bi
2 1 1
Direct
0.9144 0.9144 0.2569
0.0856 0.0856 0.7431
0.5000 0.5000 0.5000
0.0000 0.0000 0.0000
```

Values from the calculation:
- Energy above the most stable polymorph in this dataset: 376 meV per atom
- Energy of formation from the pure elements: 0.111 eV/atom
- Density of states at the Fermi level: 2.68 states/eV/cell
- Uncorrected energy: -16.59 eV for the cell shown

[6]
This record from Alexandria describes a relaxed AcLuBi3 crystal. The functional is PBE.

```
AcLuBi3
1.0
5.7563 0.0000 0.0000
0.0000 5.7563 0.0000
0.0000 0.0000 5.7563
Lu Ac Bi
1 1 3
Direct
0.0000 0.0000 0.0000
0.5000 0.5000 0.5000
0.0000 0.0000 0.5000
0.0000 0.5000 0.0000
0.5000 0.0000 0.0000
```

Values from the calculation:
- Energy of formation from the pure elements: -0.225 eV/atom
- Density of states at the Fermi level: 3.43 states/eV/cell
- Uncorrected energy: -21.40 eV for the cell shown

[7]
This record from Alexandria describes a relaxed AcLuBi2 crystal. The functional is PBE.

```
AcLuBi2
1.0
3.5827 0.0000 0.0000
0.0000 6.0135 0.0000
0.0000 0.0000 6.0135
Ac Bi Lu
1 2 1
Direct
0.5000 0.0000 0.0000
0.0000 0.5000 0.0000
0.0000 0.0000 0.5000
0.5000 0.5000 0.5000
```

Values from the calculation:
- Energy above the most stable polymorph in this dataset: 17 meV per atom
- Energy of formation from the pure elements: -0.577 eV/atom
- Density of states at the Fermi level: 2.21 states/eV/cell
- Uncorrected energy: -18.70 eV for the cell shown

[8]
This record from Alexandria describes a relaxed AcLu2Bi crystal. The functional is PBE.

```
AcLu2Bi
1.0
-3.0095 -4.0577 -0.2907
3.8760 -2.9546 1.1145
-1.0635 0.4401 4.8652
Bi Lu Ac
1 2 1
Direct
0.5000 0.0000 0.0000
0.0000 0.0000 0.5000
0.0000 0.5000 0.0000
0.5000 0.5000 0.5000
```

Values from the calculation:
- Energy above the most stable polymorph in this dataset: 15 meV per atom
- Energy of formation from the pure elements: -0.250 eV/atom
- Density of states at the Fermi level: 5.26 states/eV/cell
- Uncorrected energy: -18.03 eV for the cell shown